[1]
## Sc2ZnRh (PBE)

Data for crystalline Sc2ZnRh at its relaxed geometry.

Lattice parameters (Å, degrees): 4.575 4.575 4.575 60.00 60.00 60.00
Fractional positions:
Sc 0.000 0.000 0.000
Sc 0.250 0.250 0.250
Zn 0.500 0.500 0.500
Rh 0.750 0.750 0.750

Space-group type: No. 216
Theoretical density in g cm⁻³: 6.3

[2]
## ScZn2Rh (PBE)

Data for crystalline ScZn2Rh at its relaxed geometry.

Lattice parameters (Å, degrees): 4.843 4.843 4.843 131.15 131.15 71.58
Fractional positions:
Sc 0.000 0.000 0.000
Zn 0.500 0.500 0.000
Zn 0.750 0.250 0.500
Rh 0.250 0.750 0.500

Space-group type: No. 119
Theoretical density in g cm⁻³: 7.3

[3]
## Sc2ZnRh (PBE)

Data for crystalline Sc2ZnRh at its relaxed geometry.

Lattice parameters (Å, degrees): 5.323 5.323 4.713 105.13 105.13 34.14
Fractional positions:
Sc 0.000 0.000 0.000
Sc 0.215 0.215 0.648
Zn 0.759 0.759 0.178
Rh 0.469 0.469 0.487

Space-group type: No. 8
Theoretical density in g cm⁻³: 5.9

[4]
## ScZnRh3 (PBE)

Data for crystalline ScZnRh3 at its relaxed geometry.

Lattice parameters (Å, degrees): 4.624 4.624 4.624 90.00 90.00 90.00
Fractional positions:
Sc 0.000 0.000 0.000
Zn 0.500 0.500 0.500
Rh 0.000 0.000 0.500
Rh 0.000 0.500 0.000
Rh 0.500 0.000 0.000

E above lowest polymorph in meV per atom: 959
Space-group type: No. 221
Theoretical density in g cm⁻³: 7.0

[5]
## Sc6Zn5Rh (PBE)

Data for crystalline Sc6Zn5Rh at its relaxed geometry.

Lattice parameters (Å, degrees): 7.402 7.402 6.707 90.00 90.00 143.05
Fractional positions:
Sc 0.000 0.000 0.243
Sc 0.000 0.000 0.757
Sc 0.337 0.663 0.246
Sc 0.337 0.663 0.754
Sc 0.663 0.337 0.246
Sc 0.663 0.337 0.754
Zn 0.168 0.832 0.500
Zn 0.170 0.830 0.000
Zn 0.500 0.500 0.500
Zn 0.830 0.170 0.000
Zn 0.832 0.168 0.500
Rh 0.500 0.500 0.000

Space-group type: No. 65
Theoretical density in g cm⁻³: 5.3

[6]
## ScZnRh (PBE)

Data for crystalline ScZnRh at its relaxed geometry.

Lattice parameters (Å, degrees): 4.983 4.983 4.983 142.86 138.76 56.69
Fractional positions:
Sc 0.000 0.000 0.000
Zn 0.683 0.683 0.000
Rh 0.339 0.339 0.000

Space-group type: No. 44
Theoretical density in g cm⁻³: 7.3

[7]
## Sc4ZnRh (PBE)

Data for crystalline Sc4ZnRh at its relaxed geometry.

Lattice parameters (Å, degrees): 8.834 8.834 8.834 60.00 60.00 60.00
Fractional positions:
Sc 0.186 0.186 0.814
Sc 0.186 0.814 0.186
Sc 0.186 0.814 0.814
Sc 0.388 0.388 0.388
Sc 0.388 0.388 0.835
Sc 0.388 0.835 0.388
Sc 0.561 0.561 0.939
Sc 0.561 0.939 0.561
Sc 0.561 0.939 0.939
Sc 0.814 0.186 0.186
Sc 0.814 0.186 0.814
Sc 0.814 0.814 0.186
Sc 0.835 0.388 0.388
Sc 0.939 0.561 0.561
Sc 0.939 0.561 0.939
Sc 0.939 0.939 0.561
Zn 0.168 0.168 0.168
Zn 0.168 0.168 0.495
Zn 0.168 0.495 0.168
Zn 0.495 0.168 0.168
Rh 0.197 0.601 0.601
Rh 0.601 0.197 0.601
Rh 0.601 0.601 0.197
Rh 0.601 0.601 0.601

E above lowest polymorph in meV per atom: 0
Space-group type: No. 216
Theoretical density in g cm⁻³: 4.7

[8]
## Sc8ZnRh2 (PBE)

Data for crystalline Sc8ZnRh2 at its relaxed geometry.

Lattice parameters (Å, degrees): 7.378 7.378 5.017 98.46 98.46 113.87
Fractional positions:
Sc 0.074 0.327 0.585
Sc 0.237 0.763 0.000
Sc 0.327 0.074 0.585
Sc 0.378 0.378 0.187
Sc 0.622 0.622 0.813
Sc 0.673 0.926 0.415
Sc 0.763 0.237 0.000
Sc 0.926 0.673 0.415
Zn 0.000 0.000 0.000
Rh 0.310 0.690 0.500
Rh 0.690 0.310 0.500

Space-group type: No. 12
Theoretical density in g cm⁻³: 4.4

Which formation energy belongs to each record? In order, -189, -187, -205, 366, -563, -193, -285, -362 kJ/mol of formula units.